Record 1
First-principles (PBE) data for an optimized crystal structure of ZnBi2Pb, as listed in Alexandria via LeMat-Bulk.

a b c (Å): 6.6653 6.6653 8.2381
angles (deg): 66.14 66.14 90.00
Fractional positions:
Pb  0.0000  0.0000  0.0000
Pb  0.7500  0.2500  0.5000
Zn  0.5000  0.5000  0.0000
Zn  0.2500  0.7500  0.5000
Bi  0.5876  0.1250  0.2500
Bi  0.1624  0.6250  0.2500
Bi  0.3750  0.4124  0.7500
Bi  0.8750  0.8376  0.7500

Output
The volume is 37.522 Å³/atom. The space group is I-42d, No. 122. The formation energy is 139.1 meV per atom. As for the total moment: 0.00 Bohr magnetons per cell.

=====

Record 2
First-principles (PBE) data for an optimized crystal structure of TiCBr3, as listed in Alexandria via LeMat-Bulk.

a b c (Å): 5.1108 5.1108 5.1108
angles (deg): 90.00 90.00 90.00
Site moments in Bohr magnetons follow the coordinates.
Fractional positions:
Ti  0.0000  0.0000  0.0000  0.99
C  0.5000  0.5000  0.5000  0.97
Br  0.0000  0.5000  0.0000  -0.04
Br  0.0000  0.0000  0.5000  -0.04
Br  0.5000  0.0000  0.0000  -0.04

Output
The volume is 26.699 Å³/atom. The space group is Pm-3m, No. 221. As for the total moment: 3.00 Bohr magnetons per cell. As for the energy relative to the elements, uncorrected: 3.6 eV/f.u.

=====

Record 3
First-principles (PBE) data for an optimized crystal structure of Ca3Y, as listed in Alexandria via LeMat-Bulk.

a b c (Å): 5.9965 5.9965 5.9965
angles (deg): 60.00 60.00 60.00
Fractional positions:
Ca  0.2500  0.2500  0.2500
Ca  0.7500  0.7500  0.7500
Ca  0.5000  0.5000  0.5000
Y  0.0000  0.0000  0.0000

Output
The volume is 38.117 Å³/atom. The space group is Fm-3m, No. 225. The formation energy is 119.2 meV per atom. As for the total moment: 0.00 Bohr magnetons per cell. The relative energy among the computed polymorphs is 90 meV per atom.

=====

Record 4
First-principles (PBE) data for an optimized crystal structure of MgTc4Sb, as listed in Alexandria via LeMat-Bulk.

a b c (Å): 5.2372 5.2372 5.2372
angles (deg): 60.00 60.00 60.00
Fractional positions:
Mg  0.7500  0.7500  0.7500
Tc  0.8758  0.3747  0.3747
Tc  0.3747  0.3747  0.8758
Tc  0.3747  0.8758  0.3747
Tc  0.3747  0.3747  0.3747
Sb  0.0000  0.0000  0.0000

Output
The volume is 16.929 Å³/atom. The space group is F-43m, No. 216. As for the total moment: 0.00 Bohr magnetons per cell. As for the energy relative to the elements, uncorrected: 1.9 eV/f.u.

=====

Record 5
First-principles (PBE) data for an optimized crystal structure of K2CaNb, as listed in Alexandria via LeMat-Bulk.

a b c (Å): 6.2070 6.2070 6.2070
angles (deg): 60.00 60.00 60.00
Site moments in Bohr magnetons follow the coordinates.
Fractional positions:
K  0.2500  0.2500  0.2500  0.04
K  0.7500  0.7500  0.7500  0.04
Nb  0.5000  0.5000  0.5000  3.00
Ca  0.0000  0.0000  0.0000  0.06

Output
The volume is 42.275 Å³/atom. The space group is Fm-3m, No. 225. The formation energy is 1177.9 meV per atom. As for the total moment: 4.90 Bohr magnetons per cell. The relative energy among the computed polymorphs is 51 meV per atom.

=====

Record 6
First-principles (PBE) data for an optimized crystal structure of Tl5Se2Br2, as listed in Alexandria via LeMat-Bulk.

a b c (Å): 8.4982 9.0628 10.8959
angles (deg): 114.57 112.95 90.00
Fractional positions:
Tl  0.2130  0.6550  0.8670
Tl  0.7870  0.7880  0.1330
Tl  0.1540  0.1550  0.8670
Tl  0.8460  0.2880  0.1330
Tl  0.2556  0.0422  0.2963
Tl  0.7444  0.7458  0.7037
Tl  0.5407  0.5422  0.2963
Tl  0.4593  0.2458  0.7037
Tl  0.1306  0.6852  0.5000
Tl  0.8694  0.1852  0.5000
Se  0.0000  0.9965  0.0000
Se  0.5000  0.4965  0.0000
Se  0.1247  0.3767  0.5000
Se  0.8753  0.8767  0.5000
Br  0.1595  0.6326  0.2187
Br  0.8405  0.4139  0.7813
Br  0.5592  0.1326  0.2187
Br  0.4408  0.9139  0.7813

Output
The volume is 38.302 Å³/atom. The space group is Ima2, No. 46. As for the total moment: 0.00 Bohr magnetons per cell. As for the energy relative to the elements, uncorrected: -4.2 eV/f.u.

=====

Record 7
First-principles (PBE) data for an optimized crystal structure of LiBe2AgPt, as listed in Alexandria via LeMat-Bulk.

a b c (Å): 4.0364 4.0364 4.0493
angles (deg): 90.00 90.00 90.00
Fractional positions:
Be  0.0000  0.5000  0.0000
Be  0.5000  0.0000  0.0000
Ag  0.0000  0.0000  0.5000
Pt  0.5000  0.5000  0.5000
Li  0.0000  0.0000  0.0000

Output
The volume is 13.195 Å³/atom. The space group is P4/mmm, No. 123. The formation energy is 764.3 meV per atom. As for the total moment: 0.00 Bohr magnetons per cell.

=====

Record 8
First-principles (PBE) data for an optimized crystal structure of Rb3LiPa3O8, as listed in Alexandria via LeMat-Bulk.

a b c (Å): 7.0855 7.0841 7.7587
angles (deg): 117.17 90.00 120.01
Site moments in Bohr magnetons follow the coordinates.
Fractional positions:
Rb  0.0000  0.0000  0.0000  0.01
Rb  0.0000  0.5000  0.0000  0.01
Rb  0.5000  0.5000  0.0000  0.01
Li  0.0000  0.0000  0.5000  0.00
Pa  0.5000  0.0000  0.5000  0.91
Pa  0.5000  0.5000  0.5000  0.91
Pa  0.0000  0.5000  0.5000  0.91
O  0.2724  0.5448  0.3173  -0.03
O  0.7276  0.4552  0.6827  -0.03
O  0.7684  0.5369  0.3366  -0.02
O  0.2316  0.4632  0.6634  -0.02
O  0.7682  0.0680  0.3363  -0.02
O  0.2318  0.9320  0.6637  -0.02
O  0.2999  0.0680  0.3363  -0.02
O  0.7001  0.9320  0.6637  -0.02

Output
The volume is 19.104 Å³/atom. The space group is R-3m, No. 166. As for the total moment: 3.01 Bohr magnetons per cell. As for the energy relative to the elements, uncorrected: -38.8 eV/f.u.